The following is a PBE-GGA calculation of a relaxed structure of TbPmPrIn, from Alexandria via LeMat-Bulk.

Its crystal system is cubic. The calculated formation energy is -147 meV/atom.

It has space group F-43m (No. 216), with a = 7.8862 Å, b = 7.8862 Å, c = 7.8862 Å, α = 90.00°, β = 90.00° and γ = 90.00°. The distinct sites, in fractional coordinates, are Tb at (0.0000, 0.0000, 0.0000), Pm at (0.2500, 0.2500, 0.7500), Pr at (0.2500, 0.2500, 0.2500) and In at (0.0000, 0.0000, 0.5000).



The following is a PBE-GGA calculation of a relaxed structure of Ca4HfU3N8, from Alexandria via LeMat-Bulk.

Its uncorrected formation energy is -1.352 eV per atom. Its crystal system is trigonal.

It has space group R-3m (No. 166, hexagonal axes), with a = 6.8702 Å, b = 6.8702 Å, c = 17.0641 Å, α = 90.00°, β = 90.00° and γ = 120.00°. The distinct sites, in fractional coordinates, are Ca at (0.0000, 0.0000, 0.0000), Ca at (0.0000, 0.5000, 0.0000), Hf at (0.0000, 0.0000, 0.5000), U at (0.0000, 0.5000, 0.5000), N at (0.0000, 0.0000, 0.2392) and N at (0.0046, 0.5023, 0.2371).



The following is a PBE-GGA calculation of a relaxed structure of TlFeW, from Alexandria via LeMat-Bulk.

Its crystal system is cubic. The calculated formation energy is 828 meV/atom.

It has space group F-43m (No. 216), with a = 5.9902 Å, b = 5.9902 Å, c = 5.9902 Å, α = 90.00°, β = 90.00° and γ = 90.00°. The distinct sites, in fractional coordinates, are Tl at (0.0000, 0.0000, 0.0000), Fe at (0.2500, 0.2500, 0.7500) and W at (0.0000, 0.0000, 0.5000).



The following is a PBE-GGA calculation of a relaxed structure of TiNbCoBr, from Alexandria via LeMat-Bulk.

Its uncorrected formation energy is 0.103 eV per atom. Its crystal system is monoclinic.

It has space group Cm (No. 8), with a = 9.4278 Å, b = 3.0670 Å, c = 4.8373 Å, α = 90.00°, β = 104.42° and γ = 90.00°. The distinct sites, in fractional coordinates, are Ti at (0.0000, 0.0000, 0.0000), Nb at (0.2907, 0.5000, 0.3802), Co at (0.3102, 0.0000, 0.9254) and Br at (0.0886, 0.0000, 0.5325).



The following is a PBE-GGA calculation of a relaxed structure of CoHgAs2, from Alexandria via LeMat-Bulk.

Its crystal system is tetragonal. The calculated formation energy is 220 meV/atom.

It has space group P4mm (No. 99), with a = 2.9139 Å, b = 2.9139 Å, c = 8.3613 Å, α = 90.00°, β = 90.00° and γ = 90.00°. The distinct sites, in fractional coordinates, are Co at (0.0000, 0.0000, 0.0000), Hg at (0.5000, 0.5000, 0.2402), As at (0.0000, 0.0000, 0.5419) and As at (0.5000, 0.5000, 0.8498).



The following is a PBE-GGA calculation of a relaxed structure of Ba6Tl2NCl, from Alexandria via LeMat-Bulk.

Its uncorrected formation energy is -0.652 eV per atom. Its crystal system is cubic.

It has space group Fm-3m (No. 225), with a = 11.7408 Å, b = 11.7408 Å, c = 11.7408 Å, α = 90.00°, β = 90.00° and γ = 90.00°. The distinct sites, in fractional coordinates, are Ba at (0.0000, 0.0000, 0.2322), Tl at (0.2500, 0.2500, 0.2500), N at (0.0000, 0.0000, 0.0000) and Cl at (0.0000, 0.0000, 0.5000).



The following is a PBE-GGA calculation of a relaxed structure of CdSn3Te4, from Alexandria via LeMat-Bulk.

Its uncorrected formation energy is -0.281 eV per atom. Its crystal system is tetragonal.

It has space group P4/mmm (No. 123), with a = 4.4613 Å, b = 4.4613 Å, c = 12.7213 Å, α = 90.00°, β = 90.00° and γ = 90.00°. The distinct sites, in fractional coordinates, are Cd at (0.0000, 0.0000, 0.0000), Sn at (0.0000, 0.0000, 0.5000), Sn at (0.5000, 0.5000, 0.2462), Te at (0.0000, 0.0000, 0.2464), Te at (0.5000, 0.5000, 0.0000) and Te at (0.5000, 0.5000, 0.5000).



The following is a PBE-GGA calculation of a relaxed structure of Tb2HoGa6, from Alexandria via LeMat-Bulk.

Its crystal system is orthorhombic. The calculated formation energy is -456 meV/atom.

It has space group Immm (No. 71), with a = 4.3116 Å, b = 6.9730 Å, c = 13.3899 Å, α = 90.00°, β = 90.00° and γ = 90.00°. The distinct sites, in fractional coordinates, are Tb at (0.0000, 0.0000, 0.1260), Ho at (0.0000, 0.5000, 0.0000), Ga at (0.0000, 0.1918, 0.3163) and Ga at (0.0000, 0.3089, 0.5000).



The following is a PBE-GGA calculation of a relaxed structure of DyMnFe2, from Alexandria via LeMat-Bulk.

Its crystal system is trigonal. The calculated formation energy is 122 meV/atom.

It has space group R-3m (No. 166, hexagonal axes), with a = 3.9601 Å, b = 3.9601 Å, c = 14.6778 Å, α = 90.00°, β = 90.00° and γ = 120.00°. The distinct sites, in fractional coordinates, are Dy at (0.0000, 0.0000, 0.0000), Mn at (0.0000, 0.0000, 0.5000) and Fe at (0.0000, 0.0000, 0.1949).



The following is a PBE-GGA calculation of a relaxed structure of Cr2In2Sn, from Alexandria via LeMat-Bulk.

Its crystal system is tetragonal. The calculated formation energy is 345 meV/atom.

It has space group P4/mbm (No. 127), with a = 6.5989 Å, b = 6.5989 Å, c = 4.3506 Å, α = 90.00°, β = 90.00° and γ = 90.00°. The distinct sites, in fractional coordinates, are Cr at (0.1127, 0.3873, 0.0000), In at (0.1696, 0.6696, 0.5000) and Sn at (0.0000, 0.0000, 0.0000).



The following is a PBE-GGA calculation of a relaxed structure of Ni5B3Ir, from Alexandria via LeMat-Bulk.

Its crystal system is monoclinic. The calculated formation energy is -108 meV/atom.

It has space group C2/m (No. 12), with a = 8.9932 Å, b = 6.4489 Å, c = 7.2517 Å, α = 90.00°, β = 113.81° and γ = 90.00°. The distinct sites, in fractional coordinates, are Ni at (0.0000, 0.1942, 0.0000), Ni at (0.0676, 0.0000, 0.3695), Ni at (0.1657, 0.3027, 0.6747), Ni at (0.2381, 0.5000, 0.0289), B at (0.0000, 0.5000, 0.0000), B at (0.0000, 0.5000, 0.5000), B at (0.1578, 0.0000, 0.6700), B at (0.1647, 0.0000, 0.1690) and Ir at (0.1087, 0.5000, 0.3015).



The following is a PBE-GGA calculation of a relaxed structure of PrDy2Tl, from Alexandria via LeMat-Bulk.

Its crystal system is monoclinic. The calculated formation energy is -164 meV/atom.

It has space group P2_1/m (No. 11), with a = 4.7747 Å, b = 4.8676 Å, c = 11.2269 Å, α = 90.00°, β = 102.20° and γ = 90.00°. The distinct sites, in fractional coordinates, are Pr at (0.1922, 0.2500, 0.3855), Dy at (0.0569, 0.7500, 0.1135), Dy at (0.4366, 0.7500, 0.8732) and Tl at (0.3399, 0.2500, 0.6772).